Cs2KRb6: optimized geometry, PBE-GGA.

Calculated values
As for the density of states at the Fermi level: 8.61 states/eV/f.u. The uncorrected energy is -0.9410 eV per atom. The energy of formation from the pure elements is 0.141 eV per formula unit. The value obtained for the energy above the most stable polymorph in this dataset is 0.004 eV/atom. The calculation puts the volume at 849 Å³/cell.

Lattice parameters (Å, degrees): 14.1110 14.1110 4.9054 91.55 91.55 60.47
Atoms (fractional coordinates):
1 Cs 0.1655 0.1655 0.4984
2 Cs 0.8345 0.8345 0.5016
3 K 0.5000 0.5000 0.5000
4 Rb 0.1725 0.4990 0.0011
5 Rb 0.1733 0.8267 0.0000
6 Rb 0.4990 0.1725 0.0011
7 Rb 0.5010 0.8275 0.9989
8 Rb 0.8267 0.1733 0.0000
9 Rb 0.8275 0.5010 0.9989



Cs3K4Rb4: optimized geometry, PBE-GGA.

Calculated values
As for the density of states at the Fermi level: 9.75 states/eV/f.u. The uncorrected energy is -0.9721 eV per atom. The energy of formation from the pure elements is 0.128 eV per formula unit. The calculation puts the volume at 994 Å³/cell.

Lattice parameters (Å, degrees): 4.9126 8.0365 25.6008 81.18 84.64 89.97
Atoms (fractional coordinates):
1 Cs 0.0000 0.0000 0.0000
2 Cs 0.1383 0.6375 0.7223
3 Cs 0.8617 0.3625 0.2777
4 K 0.3172 0.8175 0.3666
5 K 0.4596 0.4551 0.0903
6 K 0.5404 0.5449 0.9097
7 K 0.6828 0.1825 0.6334
8 Rb 0.2659 0.2674 0.4659
9 Rb 0.4062 0.9095 0.1837
10 Rb 0.5938 0.0905 0.8163
11 Rb 0.7341 0.7326 0.5341